Record 1
Compound: CaScAlZn
Source: Alexandria
Functional: PBE
Structure: relaxed

Unit cell a=4.989 b=4.989 c=4.989 alpha=60.00 beta=60.00 gamma=60.00
Fractional positions:
Zn 0.750 0.750 0.750
Ca 0.000 0.000 0.000
Al 0.250 0.250 0.250
Sc 0.500 0.500 0.500

Calculated values
The value obtained for the raw total energy is -3.589 eV per atom. The total magnetization comes out at 0.00 μB/f.u.

=====

Record 2
Compound: CaScAlZn2
Source: Alexandria
Functional: PBE
Structure: relaxed

Unit cell a=5.228 b=5.611 c=5.228 alpha=90.00 beta=90.00 gamma=90.00
Fractional positions:
Zn 0.000 0.000 0.500
Zn 0.500 0.000 0.000
Ca 0.000 0.000 0.000
Sc 0.000 0.500 0.000
Al 0.500 0.500 0.500

Calculated values
The value obtained for the raw total energy is -1.794 eV per atom. The total magnetization comes out at 0.00 μB/f.u.

=====

How do the records compare in D(E_F)? In the order shown, they have 2.25; 7.05 states/eV/cell.